20
Lattice="-2.637 -4.277 -5.955 5.863 -8.222 3.309 -9.112 -1.642 5.215" Properties=species:S:1:pos:R:3 comment="GGA-PBE CdIn3I6, relaxed" formation_energy_uncorrected_ev_per_fu=-4.48 sg=Cmc2_1 magmom_total_mub_per_fu=0.0 pbc="T T T"
Cd -6.139 -3.205 4.540
Cd 1.322 -9.201 0.445
In -2.429 -10.795 3.962
In -6.741 -11.619 1.366
In -3.604 -6.013 2.256
In -2.857 -9.060 -0.984
In -4.657 -5.291 -4.102
In -0.345 -4.468 -1.505
I -1.866 -7.451 4.611
I -4.542 -8.993 1.807
I -5.936 -6.062 4.640
I -0.865 -11.009 0.850
I -8.886 -2.640 4.147
I -7.678 -6.035 0.679
I 2.098 -7.612 2.580
I 3.447 -10.776 -0.568
I -4.915 -2.960 1.960
I 0.157 -7.907 -1.831
I -0.836 -4.325 1.910
I -3.512 -5.867 -0.895